# 1
# ZnNi2Te2 (PBE-GGA, optimized geometry)
# Relative energy among the computed polymorphs = 8.6 kJ per mole of atoms
# Crystal system = tetragonal
# Raw formation energy = 0.080 eV/atom
data_ZnNi2Te2
_symmetry_space_group_name_H-M 'P 4/m b m'
_symmetry_Int_Tables_number 127
_symmetry_space_group_name_Hall '-P 4 2ab'
_cell_length_a 6.9528
_cell_length_b 6.9528
_cell_length_c 3.6756
_cell_angle_alpha 90.00
_cell_angle_beta 90.00
_cell_angle_gamma 90.00
loop_
_atom_site_label
_atom_site_fract_x
_atom_site_fract_y
_atom_site_fract_z
_atom_site_occupancy
Zn1 0.0000 0.0000 0.0000 1
Ni1 0.1301 0.3699 0.0000 1
Te1 0.1721 0.6721 0.5000 1


# 2
# ZnNi2Te2 (PBE-GGA, optimized geometry)
# Relative energy among the computed polymorphs = 0.0 kJ per mole of atoms
# Crystal system = tetragonal
# Raw formation energy = -0.010 eV/atom
data_ZnNi2Te2
_symmetry_space_group_name_H-M 'I 4/m m m'
_symmetry_Int_Tables_number 139
_symmetry_space_group_name_Hall '-I 4 2'
_cell_length_a 3.6890
_cell_length_b 3.6890
_cell_length_c 15.1183
_cell_angle_alpha 90.00
_cell_angle_beta 90.00
_cell_angle_gamma 90.00
loop_
_atom_site_label
_atom_site_fract_x
_atom_site_fract_y
_atom_site_fract_z
_atom_site_occupancy
Zn1 0.0000 0.0000 0.0000 1
Ni1 0.0000 0.5000 0.2500 1
Te1 0.0000 0.0000 0.3658 1


# 3
# Zn2Ni2Te (PBE-GGA, optimized geometry)
# Crystal system = tetragonal
# Raw formation energy = -0.002 eV/atom
data_Zn2Ni2Te
_symmetry_space_group_name_H-M 'P 4/m b m'
_symmetry_Int_Tables_number 127
_symmetry_space_group_name_Hall '-P 4 2ab'
_cell_length_a 7.1537
_cell_length_b 7.1537
_cell_length_c 2.9583
_cell_angle_alpha 90.00
_cell_angle_beta 90.00
_cell_angle_gamma 90.00
loop_
_atom_site_label
_atom_site_fract_x
_atom_site_fract_y
_atom_site_fract_z
_atom_site_occupancy
Zn1 0.1305 0.3695 0.0000 1
Ni1 0.1631 0.6631 0.5000 1
Te1 0.0000 0.0000 0.5000 1


# 4
# ZnNiTe2 (PBE-GGA, optimized geometry)
# Relative energy among the computed polymorphs = 73.8 kJ per mole of atoms
# Crystal system = cubic
# Raw formation energy = 0.567 eV/atom
data_ZnNiTe2
_symmetry_space_group_name_H-M 'F -4 3 m'
_symmetry_Int_Tables_number 216
_symmetry_space_group_name_Hall 'F -4 2 3'
_cell_length_a 6.9868
_cell_length_b 6.9868
_cell_length_c 6.9868
_cell_angle_alpha 90.00
_cell_angle_beta 90.00
_cell_angle_gamma 90.00
loop_
_atom_site_label
_atom_site_fract_x
_atom_site_fract_y
_atom_site_fract_z
_atom_site_occupancy
Zn1 0.0000 0.0000 0.0000 1
Ni1 0.2500 0.2500 0.7500 1
Te1 0.0000 0.0000 0.5000 1
Te2 0.2500 0.2500 0.2500 1


# 5
# ZnNiTe (PBE-GGA, optimized geometry)
# Relative energy among the computed polymorphs = 11.8 kJ per mole of atoms
# Crystal system = monoclinic
# Raw formation energy = -0.141 eV/atom
data_ZnNiTe
_symmetry_space_group_name_H-M 'C 1 m 1'
_symmetry_Int_Tables_number 8
_symmetry_space_group_name_Hall 'C -2y'
_cell_length_a 6.7525
_cell_length_b 5.7008
_cell_length_c 6.2738
_cell_angle_alpha 90.00
_cell_angle_beta 103.85
_cell_angle_gamma 90.00
loop_
_atom_site_label
_atom_site_fract_x
_atom_site_fract_y
_atom_site_fract_z
_atom_site_occupancy
Zn1 0.0000 0.0000 0.0000 1
Zn2 0.0608 0.5000 0.4991 1
Ni1 0.2151 0.2443 0.8166 1
Te1 0.0263 0.5000 0.0363 1
Te2 0.1554 0.0000 0.4637 1


# 6
# ZnNiTe2 (PBE-GGA, optimized geometry)
# Relative energy among the computed polymorphs = 7.7 kJ per mole of atoms
# Crystal system = monoclinic
# Raw formation energy = -0.118 eV/atom
data_ZnNiTe2
_symmetry_space_group_name_H-M 'C 1 m 1'
_symmetry_Int_Tables_number 8
_symmetry_space_group_name_Hall 'C -2y'
_cell_length_a 8.7606
_cell_length_b 3.7905
_cell_length_c 6.4038
_cell_angle_alpha 90.00
_cell_angle_beta 107.50
_cell_angle_gamma 90.00
loop_
_atom_site_label
_atom_site_fract_x
_atom_site_fract_y
_atom_site_fract_z
_atom_site_occupancy
Zn1 0.0000 0.0000 0.0000 1
Ni1 0.2807 0.0000 0.0283 1
Te1 0.1370 0.5000 0.7715 1
Te2 0.3633 0.5000 0.3078 1


Question: Look up the raw formation energy of the fourth one.
Answer: 0.567 eV/atom